1.
# La2Si3GeAu4, optimized geometry, DFT PBE
# Fermi-level density of states = 0.37 states/eV per atom
# raw formation energy = -0.628 eV per atom
data_La2Si3GeAu4
_symmetry_space_group_name_H-M 'P 1'
_symmetry_Int_Tables_number 1
_cell_length_a 4.447
_cell_length_b 4.447
_cell_length_c 10.332
_cell_angle_alpha 90.00
_cell_angle_beta 90.00
_cell_angle_gamma 90.00
loop_
_symmetry_equiv_pos_as_xyz
'x,y,z'
loop_
_atom_site_label
_atom_site_type_symbol
_atom_site_fract_x
_atom_site_fract_y
_atom_site_fract_z
La1 La 0.500 0.000 0.249
La2 La 0.000 0.500 0.751
Si1 Si 0.000 0.000 0.500
Si2 Si 0.500 0.000 0.870
Si3 Si 0.000 0.500 0.130
Ge1 Ge 0.500 0.500 0.500
Au1 Au 0.500 0.500 0.000
Au2 Au 0.000 0.000 0.000
Au3 Au 0.500 0.000 0.632
Au4 Au 0.000 0.500 0.368

---

2.
# La2SnGe4Au3, optimized geometry, DFT PBE
# Fermi-level density of states = 0.45 states/eV per atom
# total energy = -4.718 eV per atom
data_La2SnGe4Au3
_symmetry_space_group_name_H-M 'P 1'
_symmetry_Int_Tables_number 1
_cell_length_a 4.655
_cell_length_b 4.655
_cell_length_c 10.433
_cell_angle_alpha 90.00
_cell_angle_beta 90.00
_cell_angle_gamma 90.00
loop_
_symmetry_equiv_pos_as_xyz
'x,y,z'
loop_
_atom_site_label
_atom_site_type_symbol
_atom_site_fract_x
_atom_site_fract_y
_atom_site_fract_z
La1 La 0.500 0.000 0.236
La2 La 0.000 0.500 0.764
Sn1 Sn 0.500 0.500 0.500
Ge1 Ge 0.500 0.500 0.000
Ge2 Ge 0.000 0.000 0.000
Ge3 Ge 0.500 0.000 0.641
Ge4 Ge 0.000 0.500 0.359
Au1 Au 0.000 0.000 0.500
Au2 Au 0.500 0.000 0.881
Au3 Au 0.000 0.500 0.119

---

3.
# La2SnGe3Au4, optimized geometry, DFT PBE
# Fermi-level density of states = 0.29 states/eV per atom
# total energy = -4.694 eV per atom
data_La2SnGe3Au4
_symmetry_space_group_name_H-M 'P 1'
_symmetry_Int_Tables_number 1
_cell_length_a 4.517
_cell_length_b 4.517
_cell_length_c 11.003
_cell_angle_alpha 90.00
_cell_angle_beta 90.00
_cell_angle_gamma 90.00
loop_
_symmetry_equiv_pos_as_xyz
'x,y,z'
loop_
_atom_site_label
_atom_site_type_symbol
_atom_site_fract_x
_atom_site_fract_y
_atom_site_fract_z
La1 La 0.500 0.000 0.232
La2 La 0.000 0.500 0.768
Sn1 Sn 0.500 0.500 0.500
Ge1 Ge 0.000 0.000 0.500
Ge2 Ge 0.500 0.000 0.873
Ge3 Ge 0.000 0.500 0.127
Au1 Au 0.500 0.500 0.000
Au2 Au 0.000 0.000 0.000
Au3 Au 0.500 0.000 0.645
Au4 Au 0.000 0.500 0.355

---

4.
# La2SnGeAu6, optimized geometry, DFT PBE
# Fermi-level density of states = 0.57 states/eV per atom
# total energy = -4.303 eV per atom
data_La2SnGeAu6
_symmetry_space_group_name_H-M 'P 1'
_symmetry_Int_Tables_number 1
_cell_length_a 5.489
_cell_length_b 9.350
_cell_length_c 7.070
_cell_angle_alpha 49.50
_cell_angle_beta 67.21
_cell_angle_gamma 90.10
loop_
_symmetry_equiv_pos_as_xyz
'x,y,z'
loop_
_atom_site_label
_atom_site_type_symbol
_atom_site_fract_x
_atom_site_fract_y
_atom_site_fract_z
La1 La 0.745 0.231 0.509
La2 La 0.255 0.769 0.491
Sn1 Sn 0.500 0.500 0.000
Ge1 Ge 0.000 0.000 0.000
Au1 Au 0.242 0.408 0.516
Au2 Au 0.792 0.799 0.917
Au3 Au 0.291 0.798 0.919
Au4 Au 0.709 0.202 0.081
Au5 Au 0.208 0.201 0.083
Au6 Au 0.758 0.592 0.484

---

5.
# SrLaGeAu, optimized geometry, DFT PBE
# Fermi-level density of states = 0.24 states/eV per atom
# total energy = -4.356 eV per atom
data_SrLaGeAu
_symmetry_space_group_name_H-M 'P 1'
_symmetry_Int_Tables_number 1
_cell_length_a 5.386
_cell_length_b 5.386
_cell_length_c 5.386
_cell_angle_alpha 60.00
_cell_angle_beta 60.00
_cell_angle_gamma 60.00
loop_
_symmetry_equiv_pos_as_xyz
'x,y,z'
loop_
_atom_site_label
_atom_site_type_symbol
_atom_site_fract_x
_atom_site_fract_y
_atom_site_fract_z
Sr1 Sr 0.500 0.500 0.500
Ge1 Ge 0.250 0.250 0.250
Au1 Au 0.750 0.750 0.750
La1 La 0.000 0.000 0.000

---

6.
# LaTbGeAu, optimized geometry, DFT PBE
# Fermi-level density of states = 0.99 states/eV per atom
# total energy = -5.103 eV per atom
data_LaTbGeAu
_symmetry_space_group_name_H-M 'P 1'
_symmetry_Int_Tables_number 1
_cell_length_a 5.232
_cell_length_b 5.232
_cell_length_c 5.232
_cell_angle_alpha 60.00
_cell_angle_beta 60.00
_cell_angle_gamma 60.00
loop_
_symmetry_equiv_pos_as_xyz
'x,y,z'
loop_
_atom_site_label
_atom_site_type_symbol
_atom_site_fract_x
_atom_site_fract_y
_atom_site_fract_z
Tb1 Tb 0.000 0.000 0.000
Ge1 Ge 0.250 0.250 0.250
Au1 Au 0.750 0.750 0.750
La1 La 0.500 0.500 0.500

---

7.
# LaTcGeAu2, optimized geometry, DFT PBE
# Fermi-level density of states = 0.92 states/eV per atom
# total energy = -4.055 eV per atom
data_LaTcGeAu2
_symmetry_space_group_name_H-M 'P 1'
_symmetry_Int_Tables_number 1
_cell_length_a 5.571
_cell_length_b 4.877
_cell_length_c 5.571
_cell_angle_alpha 90.00
_cell_angle_beta 90.00
_cell_angle_gamma 90.00
loop_
_symmetry_equiv_pos_as_xyz
'x,y,z'
loop_
_atom_site_label
_atom_site_type_symbol
_atom_site_fract_x
_atom_site_fract_y
_atom_site_fract_z
Ge1 Ge 0.500 0.500 0.500
Au1 Au 0.000 0.000 0.500
Au2 Au 0.500 0.000 0.000
Tc1 Tc 0.000 0.500 0.000
La1 La 0.000 0.000 0.000

---

8.
# LaThGeAu, optimized geometry, DFT PBE
# Fermi-level density of states = 1.60 states/eV per atom
# energy relative to the lowest polymorph listed for this composition = 0.48 eV per formula unit
data_LaThGeAu
_symmetry_space_group_name_H-M 'P 1'
_symmetry_Int_Tables_number 1
_cell_length_a 5.285
_cell_length_b 5.285
_cell_length_c 5.285
_cell_angle_alpha 60.00
_cell_angle_beta 60.00
_cell_angle_gamma 60.00
loop_
_symmetry_equiv_pos_as_xyz
'x,y,z'
loop_
_atom_site_label
_atom_site_type_symbol
_atom_site_fract_x
_atom_site_fract_y
_atom_site_fract_z
Ge1 Ge 0.000 0.000 0.000
Au1 Au 0.500 0.500 0.500
Th1 Th 0.750 0.750 0.750
La1 La 0.250 0.250 0.250

---

9.
# LaThGeAu, optimized geometry, DFT PBE
# Fermi-level density of states = 0.84 states/eV per atom
# energy relative to the lowest polymorph listed for this composition = 0.00 eV per formula unit
data_LaThGeAu
_symmetry_space_group_name_H-M 'P 1'
_symmetry_Int_Tables_number 1
_cell_length_a 4.260
_cell_length_b 4.414
_cell_length_c 6.106
_cell_angle_alpha 90.00
_cell_angle_beta 110.42
_cell_angle_gamma 90.00
loop_
_symmetry_equiv_pos_as_xyz
'x,y,z'
loop_
_atom_site_label
_atom_site_type_symbol
_atom_site_fract_x
_atom_site_fract_y
_atom_site_fract_z
La1 La 0.856 0.500 0.712
Th1 Th 0.137 0.000 0.274
Ge1 Ge 0.585 0.500 0.170
Au1 Au 0.422 0.000 0.843

---

10.
# La2TmGe4Au3, optimized geometry, DFT PBE
# Fermi-level density of states = 0.24 states/eV per atom
# total energy = -4.943 eV per atom
data_La2TmGe4Au3
_symmetry_space_group_name_H-M 'P 1'
_symmetry_Int_Tables_number 1
_cell_length_a 4.497
_cell_length_b 4.497
_cell_length_c 11.237
_cell_angle_alpha 90.00
_cell_angle_beta 90.00
_cell_angle_gamma 90.00
loop_
_symmetry_equiv_pos_as_xyz
'x,y,z'
loop_
_atom_site_label
_atom_site_type_symbol
_atom_site_fract_x
_atom_site_fract_y
_atom_site_fract_z
La1 La 0.500 0.000 0.232
La2 La 0.000 0.500 0.768
Tm1 Tm 0.500 0.500 0.500
Ge1 Ge 0.500 0.500 0.000
Ge2 Ge 0.000 0.000 0.000
Ge3 Ge 0.500 0.000 0.650
Ge4 Ge 0.000 0.500 0.350
Au1 Au 0.000 0.000 0.500
Au2 Au 0.500 0.000 0.877
Au3 Au 0.000 0.500 0.123

---

11.
# LaYGeAu, optimized geometry, DFT PBE
# Fermi-level density of states = 1.03 states/eV per atom
# total energy = -5.570 eV per atom
data_LaYGeAu
_symmetry_space_group_name_H-M 'P 1'
_symmetry_Int_Tables_number 1
_cell_length_a 5.229
_cell_length_b 5.229
_cell_length_c 5.229
_cell_angle_alpha 60.00
_cell_angle_beta 60.00
_cell_angle_gamma 60.00
loop_
_symmetry_equiv_pos_as_xyz
'x,y,z'
loop_
_atom_site_label
_atom_site_type_symbol
_atom_site_fract_x
_atom_site_fract_y
_atom_site_fract_z
Y1 Y 0.500 0.500 0.500
Ge1 Ge 0.250 0.250 0.250
Au1 Au 0.750 0.750 0.750
La1 La 0.000 0.000 0.000

---

12.
# LaZnGe2Au, optimized geometry, DFT PBE
# Fermi-level density of states = 0.42 states/eV per atom
# total energy = -4.291 eV per atom
data_LaZnGe2Au
_symmetry_space_group_name_H-M 'P 1'
_symmetry_Int_Tables_number 1
_cell_length_a 4.355
_cell_length_b 4.355
_cell_length_c 6.286
_cell_angle_alpha 110.27
_cell_angle_beta 110.27
_cell_angle_gamma 90.00
loop_
_symmetry_equiv_pos_as_xyz
'x,y,z'
loop_
_atom_site_label
_atom_site_type_symbol
_atom_site_fract_x
_atom_site_fract_y
_atom_site_fract_z
La1 La 0.000 0.000 0.000
Zn1 Zn 0.250 0.750 0.500
Ge1 Ge 0.615 0.615 0.229
Ge2 Ge 0.385 0.385 0.771
Au1 Au 0.750 0.250 0.500